No. 1
Material: Ac2Zn7Au
Method: DFT, PBE
State: optimized geometry

DFT total energy, eV/atom: -2.3926
DFT formation energy, eV/f.u.: -3.51
Crystal system: tetragonal
Spin magnetization, μB/cell: 0.0

Structure (CIF):
```
data_Ac2Zn7Au
_chemical_formula_sum 'Ac2 Zn7 Au1'
_symmetry_space_group_name_H-M 'P 1'
_symmetry_Int_Tables_number 1
_symmetry_space_group_name_Hall 'P 1'
_cell_length_a 4.528
_cell_length_b 4.528
_cell_length_c 10.387
_cell_angle_alpha 90.00
_cell_angle_beta 90.00
_cell_angle_gamma 90.00
loop_
_atom_site_label
_atom_site_type_symbol
_atom_site_fract_x
_atom_site_fract_y
_atom_site_fract_z
Ac1 Ac 0.000 0.500 0.250
Ac2 Ac 0.500 0.000 0.750
Zn1 Zn 0.000 0.000 0.000
Zn2 Zn 0.000 0.000 0.500
Zn3 Zn 0.000 0.500 0.624
Zn4 Zn 0.000 0.500 0.868
Zn5 Zn 0.500 0.000 0.132
Zn6 Zn 0.500 0.000 0.376
Zn7 Zn 0.500 0.500 0.500
Au1 Au 0.500 0.500 0.000
```

***

No. 2
Material: Co3OsPb
Method: DFT, PBE
State: optimized geometry

DFT total energy, eV/atom: -6.0030
DFT formation energy, eV/f.u.: 6.24
Polymorph energy (0 for the lowest one), meV/atom: 0
Crystal system: cubic
Spin magnetization, μB/cell: 3.2

Structure (CIF):
```
data_Co3OsPb
_chemical_formula_sum 'Co3 Os1 Pb1'
_symmetry_space_group_name_H-M 'P 1'
_symmetry_Int_Tables_number 1
_symmetry_space_group_name_Hall 'P 1'
_cell_length_a 4.543
_cell_length_b 4.543
_cell_length_c 4.543
_cell_angle_alpha 90.00
_cell_angle_beta 90.00
_cell_angle_gamma 90.00
loop_
_atom_site_label
_atom_site_type_symbol
_atom_site_fract_x
_atom_site_fract_y
_atom_site_fract_z
Co1 Co 0.000 0.000 0.500
Co2 Co 0.000 0.500 0.000
Co3 Co 0.500 0.000 0.000
Os1 Os 0.000 0.000 0.000
Pb1 Pb 0.500 0.500 0.500
```

***

No. 3
Material: Ba2As3Pd5
Method: DFT, PBE
State: optimized geometry

DFT total energy, eV/atom: -5.0683
DFT formation energy, eV/f.u.: -6.92
Crystal system: orthorhombic
Spin magnetization, μB/cell: 0.0

Structure (CIF):
```
data_Ba2As3Pd5
_chemical_formula_sum 'Ba4 As6 Pd10'
_symmetry_space_group_name_H-M 'P 1'
_symmetry_Int_Tables_number 1
_symmetry_space_group_name_Hall 'P 1'
_cell_length_a 8.883
_cell_length_b 8.883
_cell_length_c 8.883
_cell_angle_alpha 109.64
_cell_angle_beta 86.34
_cell_angle_gamma 136.69
loop_
_atom_site_label
_atom_site_type_symbol
_atom_site_fract_x
_atom_site_fract_y
_atom_site_fract_z
Ba1 Ba 0.129 0.244 0.373
Ba2 Ba 0.371 0.744 0.115
Ba3 Ba 0.629 0.256 0.885
Ba4 Ba 0.871 0.756 0.627
As1 As 0.119 0.629 0.749
As2 As 0.250 0.250 0.000
As3 As 0.381 0.129 0.510
As4 As 0.619 0.871 0.490
As5 As 0.750 0.750 0.000
As6 As 0.881 0.371 0.251
Pd1 Pd 0.026 0.750 0.276
Pd2 Pd 0.117 0.884 0.002
Pd3 Pd 0.250 0.750 0.500
Pd4 Pd 0.383 0.384 0.767
Pd5 Pd 0.474 0.750 0.724
Pd6 Pd 0.526 0.250 0.276
Pd7 Pd 0.617 0.616 0.233
Pd8 Pd 0.750 0.250 0.500
Pd9 Pd 0.883 0.116 0.998
Pd10 Pd 0.974 0.250 0.724
```

***

No. 4
Material: CdW2Cl8
Method: DFT, PBE
State: optimized geometry

DFT total energy, eV/atom: -4.3121
Crystal system: monoclinic
Spin magnetization, μB/cell: 4.0

Structure (CIF):
```
data_CdW2Cl8
_chemical_formula_sum 'Cd1 W2 Cl8'
_symmetry_space_group_name_H-M 'P 1'
_symmetry_Int_Tables_number 1
_symmetry_space_group_name_Hall 'P 1'
_cell_length_a 8.113
_cell_length_b 8.113
_cell_length_c 9.151
_cell_angle_alpha 108.36
_cell_angle_beta 108.36
_cell_angle_gamma 55.11
loop_
_atom_site_label
_atom_site_type_symbol
_atom_site_fract_x
_atom_site_fract_y
_atom_site_fract_z
Cd1 Cd 0.000 0.000 0.000
W1 W 0.212 0.212 0.694
W2 W 0.788 0.788 0.306
Cl1 Cl 0.095 0.617 0.235
Cl2 Cl 0.174 0.174 0.433
Cl3 Cl 0.379 0.379 0.815
Cl4 Cl 0.383 0.905 0.765
Cl5 Cl 0.617 0.095 0.235
Cl6 Cl 0.621 0.621 0.185
Cl7 Cl 0.826 0.826 0.567
Cl8 Cl 0.905 0.383 0.765
```